# 1
TiNbIn | GGA-PBE | optimized geometry

Cell lengths 5.617, 5.617, 6.430 Å; angles 106.62, 106.62, 36.34 degrees
Sites, in units of the cell vectors:
1 Ti 0.008 0.008 0.225
2 Ti 0.992 0.992 0.775
3 Nb 0.339 0.339 0.927
4 Nb 0.661 0.661 0.073
5 In 0.339 0.339 0.409
6 In 0.661 0.661 0.591

* formation energy from the elements: -99.7 meV per atom
* crystal system: monoclinic
* distance to the lowest polymorph of the same formula: 0 meV/atom

=====

# 2
Ti5NbIn2 | GGA-PBE | optimized geometry

Cell lengths 7.326, 7.326, 7.326 Å; angles 142.14, 142.14, 54.61 degrees
Sites, in units of the cell vectors:
1 Ti 0.000 0.000 0.000
2 Ti 0.114 0.614 0.500
3 Ti 0.386 0.886 0.500
4 Ti 0.614 0.114 0.500
5 Ti 0.886 0.386 0.500
6 Nb 0.500 0.500 0.000
7 In 0.249 0.249 0.000
8 In 0.751 0.751 0.000

* formation energy from the elements: -120.0 meV per atom
* crystal system: tetragonal

=====

# 3
Ti6Nb5In4 | GGA-PBE | optimized geometry

Cell lengths 13.215, 13.215, 14.800 Å; angles 90.00, 90.00, 167.34 degrees
Sites, in units of the cell vectors:
1 Ti 0.069 0.931 0.586
2 Ti 0.069 0.931 0.914
3 Ti 0.095 0.905 0.250
4 Ti 0.266 0.734 0.580
5 Ti 0.266 0.734 0.920
6 Ti 0.395 0.605 0.250
7 Ti 0.605 0.395 0.750
8 Ti 0.734 0.266 0.080
9 Ti 0.734 0.266 0.420
10 Ti 0.905 0.095 0.750
11 Ti 0.931 0.069 0.086
12 Ti 0.931 0.069 0.414
13 Nb 0.016 0.984 0.750
14 Nb 0.140 0.860 0.082
15 Nb 0.140 0.860 0.418
16 Nb 0.203 0.797 0.750
17 Nb 0.312 0.688 0.750
18 Nb 0.688 0.312 0.250
19 Nb 0.797 0.203 0.250
20 Nb 0.860 0.140 0.582
21 Nb 0.860 0.140 0.918
22 Nb 0.984 0.016 0.250
23 In 0.332 0.668 0.086
24 In 0.332 0.668 0.414
25 In 0.464 0.536 0.592
26 In 0.464 0.536 0.908
27 In 0.536 0.464 0.092
28 In 0.536 0.464 0.408
29 In 0.668 0.332 0.586
30 In 0.668 0.332 0.914

* formation energy from the elements: 39.8 meV per atom
* crystal system: orthorhombic

=====

- Number 2 is which compound?
  Ti5NbIn2

=====

- The lowest formation energy from the elements belongs to which entry?
  Ti5NbIn2